{
  "formula": "LiMgHIr2",
  "functional": "GGA-PBE",
  "state": "relaxed",
  "lattice_angstrom": [[3.881, 0.000, 0.000], [0.000, 3.881, 0.000], [0.000, 0.000, 4.045]],
  "species": ["H", "Ir", "Ir", "Li", "Mg"],
  "fractional_positions": [[0.000, 0.000, 0.000], [0.500, 0.000, 0.000], [0.000, 0.500, 0.000], [0.000, 0.000, 0.500], [0.500, 0.500, 0.500]],
  "total_energy_ha_per_atom": -0.1877,
  "dos_ef_per_ev_atom": 0.57
}